Compound: Pm2MgPtO5
Source: Alexandria via LeMat-Bulk
Functional: PBE-GGA
Structure: relaxed

Computed properties:
Calculated density in g/cm³: 7.6
Energy relative to the elements, uncorrected in eV/atom: -2.18

Cell: 6.660 6.660 5.812 Å, 90.00 90.00 90.00°
Positions (direct):
Pm1 0.172 0.328 0.000
Pm2 0.328 0.828 0.000
Pm3 0.672 0.172 0.000
Pm4 0.828 0.672 0.000
Mg1 0.000 0.000 0.500
Mg2 0.500 0.500 0.500
Pt1 0.000 0.500 0.500
Pt2 0.500 0.000 0.500
O1 0.000 0.000 0.000
O2 0.147 0.647 0.252
O3 0.147 0.647 0.748
O4 0.353 0.147 0.252
O5 0.353 0.147 0.748
O6 0.500 0.500 0.000
O7 0.647 0.853 0.252
O8 0.647 0.853 0.748
O9 0.853 0.353 0.252
O10 0.853 0.353 0.748